Record 1
# La2PuMn2N6

An optimized crystal structure of La2PuMn2N6 (PBE-GGA, the Alexandria database).

E_tot ... -9.19 eV/atom
Formation energy from raw total energies ... -8.56 eV/f.u.
DOS at the Fermi energy ... 8.0 states/eV/f.u.
Calculated volume ... 14.7 Å³ per atom

Structure (POSCAR):
```
La2PuMn2N6
1.0
2.8268 1.6320 5.8381
-2.8268 1.6320 5.8381
0.0000 -3.2641 5.8381
La Pu Mn N
2 1 2 6
Direct
0.2113 0.2113 0.2113
0.7887 0.7887 0.7887
0.0000 0.0000 0.0000
0.4017 0.4017 0.4017
0.5983 0.5983 0.5983
0.2366 0.7446 0.7446
0.2554 0.2554 0.7634
0.2554 0.7634 0.2554
0.7446 0.2366 0.7446
0.7446 0.7446 0.2366
0.7634 0.2554 0.2554
```

Record 2
# Hg2PtCl

An optimized crystal structure of Hg2PtCl (PBE-GGA, the Alexandria database).

E_tot ... -2.09 eV/atom
Formation energy from raw total energies ... 0.15 eV/f.u.
ΔE to the lowest computed polymorph ... 0.38 eV per formula unit
DOS at the Fermi energy ... 1.3 states/eV/f.u.
Calculated volume ... 26.3 Å³ per atom

Structure (POSCAR):
```
Hg2PtCl
1.0
3.8422 0.0000 0.0000
0.0000 3.8422 0.0000
0.0000 0.0000 7.1142
Hg Pt Cl
2 1 1
Direct
0.0000 0.0000 0.0000
0.5000 0.5000 0.3794
0.0000 0.0000 0.3718
0.5000 0.5000 0.8420
```